[1]
The following is a GGA-PBE calculation of a geometry-optimized CsBe structure, from the Alexandria database.

## Properties
DOS(E_F) = 0.72 states/eV per atom
excess energy over the best structure of this formula in the dataset = 0.039 eV per atom
total magnetic moment = 0.0 μB per formula unit
formation energy = 0.6782 eV/atom
SG = Pmn2_1, No. 31
VASP energy = -3.22 eV/f.u.

abc: 12.043 4.127 10.030
angles: 90.00 90.00 90.00
Element x y z (fractional)
Cs: 0.000 0.024 0.000
Cs: 0.187 0.496 0.382
Cs: 0.313 0.504 0.882
Cs: 0.500 0.976 0.500
Cs: 0.687 0.504 0.882
Cs: 0.813 0.496 0.382
Be: 0.000 0.490 0.680
Be: 0.080 0.990 0.670
Be: 0.420 0.010 0.170
Be: 0.500 0.510 0.180
Be: 0.580 0.010 0.170
Be: 0.920 0.990 0.670


[2]
The following is a GGA-PBE calculation of a geometry-optimized Hf3NbH4 structure, from the Alexandria database.

## Properties
DOS(E_F) = 0.59 states/eV per atom
total magnetic moment = 0.0 μB per formula unit
SG = Pmn2_1, No. 31
VASP energy = -55.65 eV/f.u.

abc: 7.135 5.112 5.131
angles: 90.00 90.00 90.00
Element x y z (fractional)
Hf: 0.000 0.247 0.000
Hf: 0.250 0.256 0.501
Hf: 0.250 0.744 0.001
Hf: 0.500 0.753 0.500
Hf: 0.750 0.256 0.501
Hf: 0.750 0.744 0.001
Nb: 0.000 0.751 0.502
Nb: 0.500 0.249 0.002
H: 0.000 0.108 0.366
H: 0.000 0.878 0.859
H: 0.244 0.636 0.380
H: 0.256 0.364 0.880
H: 0.500 0.122 0.359
H: 0.500 0.892 0.866
H: 0.744 0.364 0.880
H: 0.756 0.636 0.380


Please write out number 1 again, unchanged.
The following is a GGA-PBE calculation of a geometry-optimized CsBe structure, from the Alexandria database.

## Properties
DOS(E_F) = 0.72 states/eV per atom
excess energy over the best structure of this formula in the dataset = 0.039 eV per atom
total magnetic moment = 0.0 μB per formula unit
formation energy = 0.6782 eV/atom
SG = Pmn2_1, No. 31
VASP energy = -3.22 eV/f.u.

abc: 12.043 4.127 10.030
angles: 90.00 90.00 90.00
Element x y z (fractional)
Cs: 0.000 0.024 0.000
Cs: 0.187 0.496 0.382
Cs: 0.313 0.504 0.882
Cs: 0.500 0.976 0.500
Cs: 0.687 0.504 0.882
Cs: 0.813 0.496 0.382
Be: 0.000 0.490 0.680
Be: 0.080 0.990 0.670
Be: 0.420 0.010 0.170
Be: 0.500 0.510 0.180
Be: 0.580 0.010 0.170
Be: 0.920 0.990 0.670


Q: What is the total magnetic moment in the first record?
A: 0.0 μB per formula unit